(1)
Below is crystalline Zr2CoSi2 at its relaxed geometry, with properties calculated at the PBE-GGA level.

abc: 5.3265 5.3265 9.3362
angles: 74.44 74.44 39.82
With the nearest neighbours (Å) after each atom.
Fractional positions:
Zr 0.3864 0.3864 0.8890  7 Si 2.72-2.89, 1 Co 2.93
Zr 0.6578 0.6578 0.4334  2 Co 2.66, 3 Si 2.80-2.88
Zr 0.3422 0.3422 0.5666  2 Co 2.66, 3 Si 2.80-2.88
Zr 0.6136 0.6136 0.1110  7 Si 2.72-2.89, 1 Co 2.93
Si 0.9574 0.9574 0.3355  1 Si 2.43, 2 Co 2.59
Si 0.1095 0.1095 0.8956  2 Co 2.27, 2 Si 2.43-2.48
Si 0.0426 0.0426 0.6645  1 Si 2.43, 2 Co 2.59
Si 0.8905 0.8905 0.1044  2 Co 2.27, 2 Si 2.43-2.48
Co 0.6878 0.6878 0.7499  2 Si 2.27
Co 0.3122 0.3122 0.2501  2 Si 2.27

- Uncorrected formation energy: -0.6043 eV/atom


(2)
Below is crystalline Sc4MnNi at its relaxed geometry, with properties calculated at the PBE-GGA level.

abc: 5.5981 5.5981 5.5981
angles: 60.00 60.00 60.00
With the nearest neighbours (Å) after each atom.
Fractional positions:
Ni 0.0000 0.0000 0.0000  12 Sc 3.28, 4 Mn 3.43
Sc 0.3751 0.8746 0.3751  6 Sc 2.80
Sc 0.3751 0.3751 0.3751  6 Sc 2.80
Sc 0.8746 0.3751 0.3751  6 Sc 2.80
Sc 0.3751 0.3751 0.8746  6 Sc 2.80
Mn 0.7500 0.7500 0.7500  12 Sc 3.28, 4 Ni 3.43

- ΔH_f (0 K): 604 meV/atom


(3)
Below is crystalline Cd2AuBr at its relaxed geometry, with properties calculated at the PBE-GGA level.

abc: 7.6227 7.6227 6.5315
angles: 54.30 54.30 90.00
With the nearest neighbours (Å) after each atom.
Fractional positions:
Br 0.2500 0.7500 0.5000  4 Cd 2.95
Br 0.5000 0.5000 0.0000  4 Cd 2.95
Cd 0.8750 0.8944 0.7500  2 Au 2.75, 2 Br 2.95
Cd 0.1056 0.6250 0.2500  2 Au 2.75, 2 Br 2.95
Cd 0.6444 0.1250 0.2500  2 Au 2.75, 2 Br 2.95
Cd 0.3750 0.3556 0.7500  2 Au 2.75, 2 Br 2.95
Au 0.7500 0.2500 0.5000  4 Cd 2.75
Au 0.0000 0.0000 0.0000  4 Cd 2.75

- Energy above the lowest structure with this stoichiometry: 100 meV/atom
- Uncorrected formation energy: -0.1526 eV/atom


(4)
Below is crystalline TiCuPt3 at its relaxed geometry, with properties calculated at the PBE-GGA level.

abc: 4.6695 4.6695 4.6695
angles: 90.00 90.00 90.00
With the nearest neighbours (Å) after each atom.
Fractional positions:
Ti 0.0000 0.0000 0.0000  6 Pt 2.33
Pt 0.0000 0.5000 0.0000  2 Ti 2.33
Pt 0.5000 0.0000 0.0000  2 Ti 2.33
Pt 0.0000 0.0000 0.5000  2 Ti 2.33
Cu 0.5000 0.5000 0.5000  12 Pt 3.30

- Energy above the lowest structure with this stoichiometry: 1255 meV/atom
- ΔH_f (0 K): 710 meV/atom


(5)
Below is crystalline YTl2C at its relaxed geometry, with properties calculated at the PBE-GGA level.

abc: 8.7318 8.7318 6.6544
angles: 49.00 49.00 90.00
With the nearest neighbours (Å) after each atom.
Fractional positions:
Tl 0.2261 0.6250 0.2500  2 C 2.62
Tl 0.8750 0.7739 0.7500  2 C 2.62
Tl 0.5239 0.1250 0.2500  2 C 2.62
Tl 0.3750 0.4761 0.7500  2 C 2.62
Y 0.0000 0.0000 0.0000  2 C 2.48
Y 0.7500 0.2500 0.5000  2 C 2.48
C 0.5000 0.5000 0.0000  2 Y 2.48, 4 Tl 2.62
C 0.2500 0.7500 0.5000  2 Y 2.48, 4 Tl 2.62

- Energy above the lowest structure with this stoichiometry: 0 meV/atom
- ΔH_f (0 K): 593 meV/atom


(6)
Below is crystalline BSe2SN at its relaxed geometry, with properties calculated at the PBE-GGA level.

abc: 8.2548 8.2548 2.5095
angles: 90.00 90.00 90.00
With the nearest neighbours (Å) after each atom.
Fractional positions:
Se 0.0000 0.5000 0.0000  2 Se 2.51
Se 0.5000 0.0000 0.0000  2 Se 2.51
N 0.0000 0.0000 0.5000  2 B 1.25
S 0.5000 0.5000 0.5000  2 S 2.51
B 0.0000 0.0000 0.0000  2 N 1.25

- Energy above the lowest structure with this stoichiometry: 0 meV/atom
- Uncorrected formation energy: 0.3919 eV/atom


(7)
Below is crystalline Tl2CuReRu at its relaxed geometry, with properties calculated at the PBE-GGA level.

abc: 5.1760 4.7165 5.1760
angles: 90.00 90.00 90.00
With the nearest neighbours (Å) after each atom.
Fractional positions:
Tl 0.5000 0.0000 0.0000  2 Ru 2.59
Tl 0.0000 0.0000 0.5000  2 Ru 2.59
Ru 0.0000 0.0000 0.0000  2 Cu 2.36, 4 Tl 2.59
Cu 0.0000 0.5000 0.0000  2 Ru 2.36
Re 0.5000 0.5000 0.5000  8 Tl 3.50, 4 Cu 3.66

- ΔH_f (0 K): 1712 meV/atom


(8)
Below is crystalline Mn2InPb at its relaxed geometry, with properties calculated at the PBE-GGA level.

abc: 4.9691 4.9691 4.9691
angles: 60.00 60.00 60.00
With the nearest neighbours (Å) after each atom.
Fractional positions:
Mn 0.0000 0.0000 0.0000  4 Pb 3.04, 4 Mn 3.04
Mn 0.2500 0.2500 0.2500  4 Mn 3.04, 4 In 3.04
Pb 0.7500 0.7500 0.7500  4 In 3.04, 4 Mn 3.04
In 0.5000 0.5000 0.5000  4 Mn 3.04, 4 Pb 3.04

- Energy above the lowest structure with this stoichiometry: 376 meV/atom
- ΔH_f (0 K): 652 meV/atom


(9)
Below is crystalline NiIr2Br at its relaxed geometry, with properties calculated at the PBE-GGA level.

abc: 2.7410 3.6361 7.1937
angles: 90.00 90.00 90.00
With the nearest neighbours (Å) after each atom.
Fractional positions:
Br 0.5000 0.5000 0.7116  2 Br 2.74, 4 Ni 2.97
Ir 0.5000 0.5000 0.2521  6 Ir 2.56-2.74, 4 Ni 2.67
Ir 0.0000 0.0000 0.0894  6 Ir 2.56-2.74, 1 Ni 2.57
Ni 0.0000 0.0000 0.4470  5 Ir 2.57-2.67, 2 Ni 2.74

- Energy above the lowest structure with this stoichiometry: 161 meV/atom
- Uncorrected formation energy: 0.6300 eV/atom


(10)
Below is crystalline Ac3TmMg4 at its relaxed geometry, with properties calculated at the PBE-GGA level.

abc: 4.0152 4.0152 16.1934
angles: 90.00 90.00 90.00
With the nearest neighbours (Å) after each atom.
Fractional positions:
Tm 0.5000 0.5000 0.0000  8 Mg 3.30
Ac 0.5000 0.5000 0.2376  8 Mg 3.56-3.58, 1 Tm 3.85
Ac 0.5000 0.5000 0.5000  8 Mg 3.53
Ac 0.5000 0.5000 0.7624  8 Mg 3.56-3.58, 1 Tm 3.85
Mg 0.0000 0.0000 0.3700  8 Ac 3.53-3.56
Mg 0.0000 0.0000 0.1034  4 Tm 3.30, 1 Mg 3.35, 4 Ac 3.58
Mg 0.0000 0.0000 0.6300  8 Ac 3.53-3.56
Mg 0.0000 0.0000 0.8966  4 Tm 3.30, 1 Mg 3.35, 4 Ac 3.58

- ΔH_f (0 K): -60 meV/atom


(11)
Below is crystalline FePb at its relaxed geometry, with properties calculated at the PBE-GGA level.

abc: 3.9279 3.9279 3.9279
angles: 60.00 60.00 60.00
With the nearest neighbours (Å) after each atom.
Fractional positions:
Pb 0.5000 0.5000 0.5000  6 Fe 2.78
Fe 0.0000 0.0000 0.0000  6 Pb 2.78

- ΔH_f (0 K): 806 meV/atom


(12)
Below is crystalline CsBiSeBr2 at its relaxed geometry, with properties calculated at the PBE-GGA level.

abc: 5.9330 5.9330 5.5721
angles: 90.00 90.00 90.00
With the nearest neighbours (Å) after each atom.
Fractional positions:
Se 0.0000 0.0000 0.5000  2 Bi 2.79
Br 0.0000 0.5000 0.0000  2 Bi 2.97
Br 0.5000 0.0000 0.0000  2 Bi 2.97
Bi 0.0000 0.0000 0.0000  2 Se 2.79, 4 Br 2.97
Cs 0.5000 0.5000 0.5000  8 Br 4.07, 4 Se 4.20

- Energy above the lowest structure with this stoichiometry: 0 meV/atom
- Uncorrected formation energy: -0.9036 eV/atom


Which formula does entry 1 have? Zr2CoSi2